No. 1
First-principles (GGA-PBE) data for an optimized crystal structure of KSn2Pd2, as listed in the Alexandria database.

Summary:
Magnetic moment = 0.000 μB per atom
Energy relative to the lowest polymorph listed for this composition = 111.6 meV per atom
Volume = 21.957 Å³/atom
ΔH_f (0 K) = -308 meV/atom

Cell lengths 8.5308, 8.5308, 3.0171 Å; angles 90.00, 90.00, 90.00 degrees
Closest atoms and distances in Å follow each position.
Fractional coordinates of all 10 atoms:
K 0.0000 0.0000 0.0000  2 K 3.02, 4 Sn 3.32
K 0.5000 0.5000 0.0000  2 K 3.02, 4 Sn 3.32
Sn 0.1348 0.3652 0.0000  6 Pd 2.91-2.94, 3 Sn 3.02-3.25
Sn 0.3652 0.8652 0.0000  6 Pd 2.91-2.94, 3 Sn 3.02-3.25
Sn 0.6348 0.1348 0.0000  6 Pd 2.91-2.94, 3 Sn 3.02-3.25
Sn 0.8652 0.6348 0.0000  6 Pd 2.91-2.94, 3 Sn 3.02-3.25
Pd 0.1556 0.6556 0.5000  6 Sn 2.91-2.94, 2 Pd 3.02
Pd 0.3444 0.1556 0.5000  6 Sn 2.91-2.94, 2 Pd 3.02
Pd 0.6556 0.8444 0.5000  6 Sn 2.91-2.94, 2 Pd 3.02
Pd 0.8444 0.3444 0.5000  6 Sn 2.91-2.94, 2 Pd 3.02



No. 2
First-principles (GGA-PBE) data for an optimized crystal structure of Ca2YPd2, as listed in the Alexandria database.

Summary:
Magnetic moment = 0.000 μB per atom
Energy relative to the lowest polymorph listed for this composition = 218.3 meV per atom
Volume = 23.602 Å³/atom
ΔH_f (0 K) = -399 meV/atom

Cell lengths 8.5097, 8.5097, 3.2593 Å; angles 90.00, 90.00, 90.00 degrees
Closest atoms and distances in Å follow each position.
Fractional coordinates of all 10 atoms:
Ca 0.1325 0.3675 0.0000  6 Pd 2.89-3.06, 1 Ca 3.19
Ca 0.3675 0.8675 0.0000  6 Pd 2.89-3.06, 1 Ca 3.19
Ca 0.6325 0.1325 0.0000  6 Pd 2.89-3.06, 1 Ca 3.19
Ca 0.8675 0.6325 0.0000  6 Pd 2.89-3.06, 1 Ca 3.19
Y 0.0000 0.0000 0.0000  2 Y 3.26, 4 Ca 3.32, 8 Pd 3.56
Y 0.5000 0.5000 0.0000  2 Y 3.26, 4 Ca 3.32, 8 Pd 3.56
Pd 0.1694 0.6694 0.5000  6 Ca 2.89-3.06
Pd 0.3306 0.1694 0.5000  6 Ca 2.89-3.06
Pd 0.6694 0.8306 0.5000  6 Ca 2.89-3.06
Pd 0.8306 0.3306 0.5000  6 Ca 2.89-3.06



No. 3
First-principles (GGA-PBE) data for an optimized crystal structure of Mg2Al2V, as listed in the Alexandria database.

Summary:
Magnetic moment = 0.601 μB per atom
Volume = 19.526 Å³/atom
ΔH_f (0 K) = 262 meV/atom

Cell lengths 7.1049, 7.1049, 3.8681 Å; angles 90.00, 90.00, 90.00 degrees
Closest atoms and distances in Å follow each position.
Fractional coordinates of all 10 atoms:
Mg 0.1705 0.3295 0.0000  6 Al 2.77-2.91
Mg 0.3295 0.8295 0.0000  6 Al 2.77-2.91
Mg 0.6705 0.1705 0.0000  6 Al 2.77-2.91
Mg 0.8295 0.6705 0.0000  6 Al 2.77-2.91
Al 0.1326 0.6326 0.5000  1 Al 2.66, 6 Mg 2.77-2.91, 2 V 2.78
Al 0.3674 0.1326 0.5000  1 Al 2.66, 6 Mg 2.77-2.91, 2 V 2.78
Al 0.6326 0.8674 0.5000  1 Al 2.66, 6 Mg 2.77-2.91, 2 V 2.78
Al 0.8674 0.3674 0.5000  1 Al 2.66, 6 Mg 2.77-2.91, 2 V 2.78
V 0.0000 0.0000 0.5000  4 Al 2.78
V 0.5000 0.5000 0.5000  4 Al 2.78



No. 4
First-principles (GGA-PBE) data for an optimized crystal structure of PrThPdAu, as listed in the Alexandria database.

Summary:
Magnetic moment = 0.000 μB per atom
Energy relative to the lowest polymorph listed for this composition = 105.5 meV per atom
Volume = 25.052 Å³/atom
ΔH_f (0 K) = -635 meV/atom

Cell lengths 5.2136, 5.2136, 5.2136 Å; angles 60.00, 60.00, 60.00 degrees
Closest atoms and distances in Å follow each position.
Fractional coordinates of all 4 atoms:
Pr 0.0000 0.0000 0.0000  4 Au 3.19, 4 Pd 3.19
Th 0.5000 0.5000 0.5000  4 Au 3.19, 4 Pd 3.19
Pd 0.2500 0.2500 0.2500  4 Th 3.19, 4 Pr 3.19
Au 0.7500 0.7500 0.7500  4 Th 3.19, 4 Pr 3.19



No. 5
First-principles (GGA-PBE) data for an optimized crystal structure of InCuRe2, as listed in the Alexandria database.

Summary:
Magnetic moment = 0.000 μB per atom
Volume = 15.638 Å³/atom
ΔH_f (0 K) = 457 meV/atom

Cell lengths 4.4557, 4.4557, 4.4557 Å; angles 60.00, 60.00, 60.00 degrees
Closest atoms and distances in Å follow each position.
Fractional coordinates of all 4 atoms:
In 0.0000 0.0000 0.0000  4 Cu 2.73, 4 Re 2.73
Cu 0.7500 0.7500 0.7500  4 In 2.73, 4 Re 2.73
Re 0.2500 0.2500 0.2500  4 In 2.73, 4 Re 2.73
Re 0.5000 0.5000 0.5000  4 Cu 2.73, 4 Re 2.73



No. 6
First-principles (GGA-PBE) data for an optimized crystal structure of Ac6SnIr2, as listed in the Alexandria database.

Summary:
Magnetic moment = 0.000 μB per atom
Volume = 38.925 Å³/atom
ΔH_f (0 K) = -382 meV/atom

Cell lengths 9.6682, 9.6682, 8.6388 Å; angles 103.83, 103.83, 64.78 degrees
Closest atoms and distances in Å follow each position.
Fractional coordinates of all 18 atoms:
Ac 0.0111 0.3409 0.6155  3 Ir 2.96-3.24
Ac 0.0780 0.7378 0.8630  1 Ir 2.96
Ac 0.2622 0.9220 0.6370  1 Ir 2.96
Ac 0.3366 0.4131 0.1266  2 Ir 2.92-2.99
Ac 0.3409 0.0111 0.1155  3 Ir 2.96-3.24
Ac 0.4131 0.3366 0.6266  2 Ir 2.92-2.99
Ac 0.5869 0.6634 0.3734  2 Ir 2.92-2.99
Ac 0.6591 0.9889 0.8845  3 Ir 2.96-3.24
Ac 0.6634 0.5869 0.8734  2 Ir 2.92-2.99
Ac 0.7378 0.0780 0.3630  1 Ir 2.96
Ac 0.9220 0.2622 0.1370  1 Ir 2.96
Ac 0.9889 0.6591 0.3845  3 Ir 2.96-3.24
Sn 0.0974 0.9026 0.2500  6 Ac 3.34-3.46
Sn 0.9026 0.0974 0.7500  6 Ac 3.34-3.46
Ir 0.1901 0.3254 0.3344  6 Ac 2.92-3.24
Ir 0.3254 0.1901 0.8344  6 Ac 2.92-3.24
Ir 0.6746 0.8099 0.1656  6 Ac 2.92-3.24
Ir 0.8099 0.6746 0.6656  6 Ac 2.92-3.24



No. 7
First-principles (GGA-PBE) data for an optimized crystal structure of CrSi2H2, as listed in the Alexandria database.

Summary:
Magnetic moment = 0.159 μB per atom
Energy relative to the lowest polymorph listed for this composition = 415.1 meV per atom
Volume = 10.053 Å³/atom

Cell lengths 6.2559, 6.2559, 2.5686 Å; angles 90.00, 90.00, 90.00 degrees
Closest atoms and distances in Å follow each position.
Fractional coordinates of all 10 atoms:
Cr 0.0000 0.0000 0.0000  4 Si 2.43, 2 Cr 2.57, 8 H 2.57
Cr 0.5000 0.5000 0.0000  4 Si 2.43, 2 Cr 2.57, 8 H 2.57
Si 0.1364 0.3636 0.0000  2 H 1.80
Si 0.3636 0.8636 0.0000  2 H 1.80
Si 0.6364 0.1364 0.0000  2 H 1.80
Si 0.8636 0.6364 0.0000  2 H 1.80
H 0.2214 0.7214 0.5000  2 Si 1.80
H 0.2786 0.2214 0.5000  2 Si 1.80
H 0.7214 0.7786 0.5000  2 Si 1.80
H 0.7786 0.2786 0.5000  2 Si 1.80



No. 8
First-principles (GGA-PBE) data for an optimized crystal structure of LuSnIrRh, as listed in the Alexandria database.

Summary:
Magnetic moment = 0.000 μB per atom
Volume = 17.872 Å³/atom
ΔH_f (0 K) = -735 meV/atom

Cell lengths 4.6586, 4.6586, 4.6586 Å; angles 60.00, 60.00, 60.00 degrees
Closest atoms and distances in Å follow each position.
Fractional coordinates of all 4 atoms:
Lu 0.0000 0.0000 0.0000  4 Rh 2.85, 4 Ir 2.85
Sn 0.5000 0.5000 0.5000  4 Ir 2.85, 4 Rh 2.85
Ir 0.7500 0.7500 0.7500  4 Sn 2.85, 4 Lu 2.85
Rh 0.2500 0.2500 0.2500  4 Sn 2.85, 4 Lu 2.85



No. 9
First-principles (GGA-PBE) data for an optimized crystal structure of K2PdI5, as listed in the Alexandria database.

Summary:
Magnetic moment = 0.000 μB per atom
Energy relative to the lowest polymorph listed for this composition = 15.8 meV per atom
Volume = 46.022 Å³/atom
Raw formation energy = -0.760 eV per atom

Cell lengths 6.2579, 7.9535, 9.0233 Å; angles 114.41, 90.43, 113.15 degrees
Closest atoms and distances in Å follow each position.
Fractional coordinates of all 8 atoms:
K 0.2300 0.4646 0.2239  6 I 3.40-3.72
K 0.7700 0.5354 0.7761  6 I 3.40-3.72
Pd 0.0000 0.0000 0.5000  4 I 2.67-2.70
I 0.0317 0.0521 0.8164  1 Pd 2.70
I 0.2042 0.4070 0.6130  1 Pd 2.67
I 0.5000 0.0000 0.5000  2 Pd 3.13
I 0.7958 0.5930 0.3870  1 Pd 2.67
I 0.9683 0.9479 0.1836  1 Pd 2.70



No. 10
First-principles (GGA-PBE) data for an optimized crystal structure of Pm6Dy3Ho2Pu, as listed in the Alexandria database.

Summary:
Magnetic moment = 0.551 μB per atom
Volume = 32.411 Å³/atom
ΔH_f (0 K) = 44 meV/atom

Cell lengths 6.2222, 6.2222, 11.7866 Å; angles 95.05, 95.05, 120.02 degrees
Closest atoms and distances in Å follow each position.
Fractional coordinates of all 12 atoms:
Pm 0.0825 0.4124 0.7480  1 Pu 3.53, 2 Ho 3.55, 6 Pm 3.55-3.61, 3 Dy 3.58-3.60
Pm 0.2474 0.2474 0.2523  1 Pu 3.53, 2 Ho 3.55, 6 Pm 3.55-3.61, 3 Dy 3.58-3.60
Pm 0.4124 0.0825 0.7480  1 Pu 3.53, 2 Ho 3.55, 6 Pm 3.55-3.61, 3 Dy 3.58-3.60
Pm 0.5876 0.9175 0.2520  1 Pu 3.53, 2 Ho 3.55, 6 Pm 3.55-3.61, 3 Dy 3.58-3.60
Pm 0.7526 0.7526 0.7477  1 Pu 3.53, 2 Ho 3.55, 6 Pm 3.55-3.61, 3 Dy 3.58-3.60
Pm 0.9175 0.5876 0.2520  1 Pu 3.53, 2 Ho 3.55, 6 Pm 3.55-3.61, 3 Dy 3.58-3.60
Dy 0.1667 0.8333 0.0000  6 Pm 3.58-3.60, 6 Dy 3.59
Dy 0.5000 0.5000 0.0000  6 Pm 3.58-3.60, 6 Dy 3.59
Dy 0.8333 0.1667 0.0000  6 Pm 3.58-3.60, 6 Dy 3.59
Ho 0.3334 0.6666 0.5000  6 Pm 3.55, 3 Ho 3.59, 3 Pu 3.59
Ho 0.6666 0.3334 0.5000  6 Pm 3.55, 3 Ho 3.59, 3 Pu 3.59
Pu 0.0000 0.0000 0.5000  6 Pm 3.53, 6 Ho 3.59